A geometry-optimized CrIn2Ir structure, computed with PBE.

Unit cell a=5.522 b=5.522 c=4.803 alpha=71.86 beta=71.86 gamma=31.52
Last column: magnetic moment on the atom in μB.
Sites, in units of the cell vectors:
In1 0.979 0.979 0.057  -0.02
In2 0.771 0.771 0.691  -0.06
Ir1 0.527 0.527 0.526  0.04
Cr1 0.223 0.223 0.225  2.84

Energy above the most stable polymorph in this dataset: 105 meV per atom
Formation enthalpy at 0 K: 0.174 eV/atom
Calculated total energy: -5.816 eV/atom
Volume: 72.5 Å³ per cell

=====

A geometry-optimized NdHfTh structure, computed with PBE.

Unit cell a=3.463 b=3.463 c=8.397 alpha=90.00 beta=90.00 gamma=120.00
Sites, in units of the cell vectors:
Th1 0.333 0.667 0.652
Nd1 0.000 0.000 0.006
Hf1 0.667 0.333 0.342

Energy above the most stable polymorph in this dataset: 70 meV per atom
Formation enthalpy at 0 K: 0.181 eV/atom
Calculated total energy: -7.199 eV/atom
Volume: 87.2 Å³ per cell

=====

A geometry-optimized Ac2TmPd structure, computed with PBE.

Unit cell a=3.916 b=3.916 c=8.515 alpha=90.00 beta=90.00 gamma=90.00
Sites, in units of the cell vectors:
Pd1 0.500 0.500 0.000
Ac1 0.000 0.000 0.211
Ac2 0.000 0.000 0.789
Tm1 0.500 0.500 0.500

Energy above the most stable polymorph in this dataset: 0 meV per atom
Formation enthalpy at 0 K: -0.284 eV/atom
Calculated total energy: -4.754 eV/atom
Volume: 130.6 Å³ per cell

=====

A geometry-optimized Tl2As2Pb structure, computed with PBE.

Unit cell a=3.823 b=3.823 c=10.007 alpha=78.99 beta=78.99 gamma=90.00
Sites, in units of the cell vectors:
As1 0.750 0.250 0.500
As2 0.250 0.750 0.500
Tl1 0.614 0.614 0.772
Tl2 0.386 0.386 0.228
Pb1 0.000 0.000 0.000

Energy above the most stable polymorph in this dataset: 107 meV per atom
Formation enthalpy at 0 K: 0.125 eV/atom
Calculated total energy: -3.423 eV/atom
Volume: 140.8 Å³ per cell